{
  "formula": "SmErNi",
  "functional": "GGA-PBE",
  "state": "relaxed",
  "cell": [[3.373, -1.943, 0.000], [3.373, 1.943, 0.000], [-2.223, 0.000, 12.225]],
  "species": ["Sm", "Sm", "Er", "Er", "Ni", "Ni"],
  "frac_coords": [[0.000, 0.000, 0.000], [0.593, 0.593, 0.776], [0.748, 0.748, 0.242], [0.845, 0.845, 0.535], [0.129, 0.129, 0.387], [0.463, 0.463, 0.390]],
  "crystal_system": "monoclinic",
  "sg": "No. 8",
  "ef_ev_per_atom": -0.18,
  "de_polymorph_mev_per_atom": 97
}


{
  "formula": "SmEr2Ni",
  "functional": "GGA-PBE",
  "state": "relaxed",
  "cell": [[1.774, 1.024, 10.393], [-1.774, 1.024, 10.393], [0.000, -2.048, 10.393]],
  "species": ["Sm", "Er", "Er", "Ni"],
  "frac_coords": [[0.000, 0.000, 0.000], [0.111, 0.111, 0.111], [0.889, 0.889, 0.889], [0.500, 0.500, 0.500]],
  "crystal_system": "trigonal",
  "sg": "No. 166",
  "ef_ev_per_atom": 0.05,
  "de_polymorph_mev_per_atom": 298
}


{
  "formula": "SmEr2Ni",
  "functional": "GGA-PBE",
  "state": "relaxed",
  "cell": [[6.852, 0.000, 0.000], [0.000, 9.540, 0.000], [0.000, 0.000, 6.337]],
  "species": ["Sm", "Sm", "Sm", "Sm", "Er", "Er", "Er", "Er", "Er", "Er", "Er", "Er", "Ni", "Ni", "Ni", "Ni"],
  "frac_coords": [[0.030, 0.250, 0.139], [0.470, 0.750, 0.639], [0.530, 0.250, 0.361], [0.970, 0.750, 0.861], [0.176, 0.067, 0.677], [0.176, 0.433, 0.677], [0.324, 0.567, 0.177], [0.324, 0.933, 0.177], [0.676, 0.067, 0.823], [0.676, 0.433, 0.823], [0.824, 0.567, 0.323], [0.824, 0.933, 0.323], [0.111, 0.750, 0.435], [0.389, 0.250, 0.935], [0.611, 0.750, 0.065], [0.889, 0.250, 0.565]],
  "crystal_system": "orthorhombic",
  "sg": "No. 62",
  "ef_ev_per_atom": -0.24,
  "de_polymorph_mev_per_atom": 0
}


{
  "formula": "Sm3Er3Ni4",
  "functional": "GGA-PBE",
  "state": "relaxed",
  "cell": [[3.842, 0.000, 0.000], [0.000, 5.332, 5.403], [0.000, -5.332, 5.403]],
  "species": ["Sm", "Sm", "Sm", "Er", "Er", "Er", "Ni", "Ni", "Ni", "Ni"],
  "frac_coords": [[0.000, 0.000, 0.000], [0.500, 0.344, 0.848], [0.500, 0.848, 0.344], [0.000, 0.182, 0.509], [0.000, 0.509, 0.182], [0.000, 0.673, 0.673], [0.500, 0.228, 0.228], [0.500, 0.465, 0.465], [0.500, 0.712, 0.957], [0.500, 0.957, 0.712]],
  "crystal_system": "orthorhombic",
  "sg": "No. 38",
  "ef_ev_per_atom": -0.30
}


{
  "formula": "SmErNi",
  "functional": "GGA-PBE",
  "state": "relaxed",
  "cell": [[-1.711, 1.711, 6.242], [1.711, -1.711, 6.242], [1.711, 1.711, -6.242]],
  "species": ["Sm", "Er", "Ni"],
  "frac_coords": [[0.000, 0.000, 0.000], [0.737, 0.737, 0.000], [0.358, 0.358, 0.000]],
  "crystal_system": "tetragonal",
  "sg": "No. 107",
  "ef_ev_per_atom": -0.22,
  "de_polymorph_mev_per_atom": 57
}


{
  "formula": "Sm2Er5Ni2",
  "functional": "GGA-PBE",
  "state": "relaxed",
  "cell": [[10.007, -3.471, 0.000], [10.007, 3.471, 0.000], [0.000, 0.000, 6.918]],
  "species": ["Sm", "Sm", "Sm", "Sm", "Er", "Er", "Er", "Er", "Er", "Er", "Er", "Er", "Er", "Er", "Ni", "Ni", "Ni", "Ni"],
  "frac_coords": [[0.231, 0.231, 0.000], [0.269, 0.269, 0.500], [0.731, 0.731, 0.500], [0.769, 0.769, 0.000], [0.000, 0.000, 0.000], [0.070, 0.716, 0.674], [0.216, 0.570, 0.174], [0.284, 0.930, 0.674], [0.430, 0.784, 0.174], [0.500, 0.500, 0.500], [0.570, 0.216, 0.826], [0.716, 0.070, 0.326], [0.784, 0.430, 0.826], [0.930, 0.284, 0.326], [0.122, 0.878, 0.379], [0.378, 0.622, 0.879], [0.622, 0.378, 0.121], [0.878, 0.122, 0.621]],
  "crystal_system": "orthorhombic",
  "sg": "No. 64",
  "ef_ev_per_atom": -0.16
}


Summary of magnetic moment in μB per atom
0.000, 0.000, 0.000, 0.000, 0.000, 0.000
(order as listed above)